Tb3Pr3ErTe8 PBE relaxed; energy relative to the elements, uncorrected = -1.415 eV/atom
1.0
4.415 2.549 7.290
-4.415 2.549 7.290
0.000 -5.098 7.290
Tb Pr Er Te
3 3 1 8
Cartesian
-2.208 -1.275 7.290 Tb
-2.208 1.275 14.580 Tb
0.000 2.549 7.290 Tb
-4.415 0.000 10.935 Pr
-2.208 1.275 3.645 Pr
2.208 1.275 3.645 Pr
0.000 0.000 0.000 Er
0.000 -2.511 9.051 Te
-2.175 1.256 9.051 Te
0.000 0.000 5.557 Te
-2.175 -1.256 12.820 Te
2.175 1.256 9.051 Te
0.000 0.000 16.314 Te
2.175 -1.256 12.820 Te
0.000 2.511 12.820 Te

***

TbPr3Er3Te8 PBE relaxed; energy relative to the elements, uncorrected = -1.394 eV/atom
1.0
4.389 2.534 7.259
-4.389 2.534 7.259
0.000 -5.068 7.259
Tb Pr Er Te
1 3 3 8
Cartesian
0.000 0.000 0.000 Tb
-4.389 0.000 10.888 Pr
-2.195 1.267 3.629 Pr
2.195 1.267 3.629 Pr
-2.195 -1.267 7.259 Er
-2.195 1.267 14.518 Er
0.000 2.534 7.259 Er
0.000 -2.445 9.015 Te
-2.117 1.222 9.015 Te
0.000 0.000 5.564 Te
-2.117 -1.222 12.761 Te
2.117 1.222 9.015 Te
0.000 0.000 16.212 Te
2.117 -1.222 12.761 Te
0.000 2.445 12.761 Te

***

TbPr2Er3Te6 PBE relaxed; energy relative to the elements, uncorrected = -1.309 eV/atom
1.0
9.663 -2.172 0.000
9.663 2.172 0.000
-2.304 0.000 8.611
Tb Pr Er Te
1 2 3 6
Cartesian
0.000 0.000 0.000 Tb
4.865 0.000 5.706 Pr
12.157 0.000 2.905 Pr
-1.152 0.000 4.305 Er
5.968 0.000 1.413 Er
11.054 0.000 7.198 Er
1.749 0.000 5.115 Te
3.031 0.000 0.616 Te
8.990 0.000 2.158 Te
8.032 0.000 6.453 Te
13.991 0.000 7.995 Te
15.273 0.000 3.496 Te

***

TbPr2ErTe5 PBE relaxed; energy relative to the elements, uncorrected = -0.802 eV/atom
1.0
5.568 0.000 0.000
0.000 5.568 0.000
0.000 0.000 11.536
Tb Pr Er Te
1 2 1 5
Cartesian
0.000 0.000 0.000 Tb
2.784 2.784 1.911 Pr
2.784 2.784 9.625 Pr
0.000 0.000 5.768 Er
0.000 0.000 2.957 Te
0.000 0.000 8.580 Te
0.000 2.784 0.000 Te
2.784 0.000 0.000 Te
2.784 2.784 5.768 Te

***

Tb2PrEr4Th PBE relaxed; calculated formation energy = 0.03 eV per atom
1.0
5.058 0.000 0.000
0.000 5.074 0.000
0.000 0.000 9.927
Tb Pr Er Th
2 1 4 1
Cartesian
0.000 0.000 0.000 Tb
2.529 2.537 4.963 Tb
0.000 0.000 4.963 Pr
0.000 2.537 2.434 Er
0.000 2.537 7.493 Er
2.529 0.000 2.431 Er
2.529 0.000 7.496 Er
2.529 2.537 0.000 Th

***

TbPrEr5Th2 PBE relaxed; calculated formation energy = 0.33 eV per atom
1.0
-4.378 4.378 7.696
4.378 -4.378 7.696
4.378 4.378 -7.696
Tb Pr Er Th
2 2 10 4
Cartesian
0.000 0.000 3.848 Tb
0.000 0.000 11.544 Tb
4.378 0.000 3.848 Pr
0.000 4.378 3.848 Pr
0.000 0.000 0.000 Er
6.197 1.819 -2.136 Er
1.819 2.559 -2.136 Er
6.197 1.819 2.136 Er
1.819 2.559 2.136 Er
0.000 0.000 7.696 Er
2.559 1.819 5.560 Er
-1.819 2.559 5.560 Er
2.559 1.819 9.832 Er
-1.819 2.559 9.832 Er
3.334 1.043 0.000 Th
3.334 -1.043 7.696 Th
1.043 5.421 0.000 Th
1.043 3.334 7.696 Th

***

TbPr2Er2Th2 PBE relaxed; calculated formation energy = 0.17 eV per atom
1.0
8.895 -1.742 0.000
8.895 1.742 0.000
-3.987 0.000 7.585
Tb Pr Er Th
1 2 2 2
Cartesian
0.000 0.000 0.000 Tb
5.820 0.000 0.980 Pr
7.983 0.000 6.605 Pr
2.537 0.000 2.286 Er
11.265 0.000 5.299 Er
5.346 0.000 4.510 Th
8.457 0.000 3.075 Th

***

TbPr5Er2Th PBE relaxed; calculated formation energy = 0.14 eV per atom
1.0
2.723 -10.874 0.000
2.723 10.874 0.000
0.000 0.000 10.667
Tb Pr Er Th
2 10 4 2
Cartesian
2.723 8.666 8.000 Tb
2.723 -8.666 2.667 Tb
0.000 0.000 0.000 Pr
0.000 0.000 5.333 Pr
2.723 8.142 2.667 Pr
2.723 6.049 5.945 Pr
2.723 6.049 10.055 Pr
2.723 0.054 8.000 Pr
2.723 -0.054 2.667 Pr
2.723 -6.049 0.612 Pr
2.723 -6.049 4.722 Pr
2.723 -8.142 8.000 Pr
2.723 2.455 0.060 Er
2.723 2.455 5.273 Er
2.723 -2.455 5.393 Er
2.723 -2.455 10.607 Er
2.723 4.636 2.667 Th
2.723 -4.636 8.000 Th

***

Tb3PrErTh PBE relaxed; calculated formation energy = 0.03 eV per atom
1.0
8.007 0.000 0.000
0.000 5.076 0.000
-3.272 0.000 9.609
Tb Pr Er Th
6 2 2 2
Cartesian
1.223 1.269 0.424 Tb
-0.366 1.269 5.220 Tb
0.460 3.807 2.822 Tb
4.275 1.269 6.788 Tb
5.101 3.807 4.390 Tb
3.512 3.807 9.185 Tb
-1.242 3.807 7.615 Pr
5.977 1.269 1.994 Pr
3.577 3.807 1.230 Er
1.158 1.269 8.380 Er
2.750 1.269 3.636 Th
1.985 3.807 5.973 Th

***

Tb5PrErTh2 PBE relaxed; calculated formation energy = 0.33 eV per atom
1.0
-4.457 4.457 7.624
4.457 -4.457 7.624
4.457 4.457 -7.624
Tb Pr Er Th
10 2 2 4
Cartesian
0.000 0.000 0.000 Tb
6.308 1.851 -2.086 Tb
1.851 2.606 -2.086 Tb
6.308 1.851 2.086 Tb
1.851 2.606 2.086 Tb
0.000 0.000 7.624 Tb
2.606 1.851 5.539 Tb
-1.851 2.606 5.539 Tb
2.606 1.851 9.710 Tb
-1.851 2.606 9.710 Tb
0.000 0.000 3.812 Pr
0.000 0.000 11.437 Pr
4.457 0.000 3.812 Er
0.000 4.457 3.812 Er
3.400 1.058 0.000 Th
3.400 -1.058 7.624 Th
1.058 5.515 0.000 Th
1.058 3.400 7.624 Th

***

Tb6Pr3ErTh2 PBE relaxed; calculated formation energy = 0.02 eV per atom
1.0
3.118 -5.397 0.000
3.118 5.397 0.000
-2.080 0.000 11.702
Tb Pr Er Th
6 3 1 2
Cartesian
-0.013 1.818 8.851 Tb
1.016 0.000 2.856 Tb
-0.013 -1.818 8.851 Tb
4.169 1.818 2.851 Tb
3.140 0.000 8.846 Tb
4.169 -1.818 2.851 Tb
-1.040 0.000 5.851 Pr
2.078 1.798 5.851 Pr
2.078 -1.798 5.851 Pr
3.118 0.000 0.000 Er
3.118 3.599 0.000 Th
3.118 -3.599 0.000 Th

***

TbPrEr2Th PBE relaxed; calculated formation energy = 0.31 eV per atom
1.0
8.591 0.000 0.000
0.000 6.471 0.000
-1.175 0.000 6.218
Tb Pr Er Th
2 2 4 2
Cartesian
0.000 0.000 0.000 Tb
-0.588 0.000 3.109 Tb
4.002 1.110 1.554 Pr
3.414 5.360 4.663 Pr
1.864 2.074 4.306 Er
2.451 4.396 1.197 Er
4.964 2.074 5.020 Er
5.552 4.396 1.912 Er
-0.294 2.891 1.554 Th
-0.881 3.579 4.663 Th

***

Tb6PrEr2Th PBE relaxed; calculated formation energy = 0.15 eV per atom
1.0
4.678 -7.459 0.000
4.678 7.459 0.000
-0.912 0.000 9.371
Tb Pr Er Th
12 2 4 2
Cartesian
2.588 4.139 1.712 Tb
3.588 4.879 5.251 Tb
4.401 4.879 8.806 Tb
3.455 1.699 3.624 Tb
6.313 4.139 2.974 Tb
5.445 1.699 1.062 Tb
2.999 -1.699 8.310 Tb
2.132 -4.139 6.397 Tb
4.990 -1.699 5.747 Tb
4.044 -4.879 0.566 Tb
4.857 -4.879 4.120 Tb
5.857 -4.139 7.660 Tb
3.995 1.372 7.028 Pr
4.450 -1.372 2.343 Pr
2.268 0.740 0.508 Er
1.812 -0.740 5.194 Er
6.633 0.740 4.177 Er
6.177 -0.740 8.863 Er
4.450 6.927 2.343 Th
3.995 -6.927 7.028 Th

***

TbPrErTh PBE relaxed; calculated formation energy = 0.02 eV per atom; excess energy over the best structure of this formula in the dataset = 0 meV per atom
1.0
1.801 1.040 11.608
-1.801 1.040 11.608
0.000 -2.080 11.608
Tb Pr Er Th
1 1 1 1
Cartesian
0.000 0.000 0.000 Tb
0.000 0.000 26.236 Pr
0.000 0.000 6.015 Er
0.000 0.000 20.412 Th

***

TbPr2Er5Th PBE relaxed; calculated formation energy = 0.29 eV per atom
1.0
-4.344 4.344 7.721
4.344 -4.344 7.721
4.344 4.344 -7.721
Tb Pr Er Th
2 4 10 2
Cartesian
4.344 0.000 3.861 Tb
0.000 4.344 3.861 Tb
5.360 1.016 0.000 Pr
1.016 3.328 0.000 Pr
3.328 1.016 7.721 Pr
-1.016 3.328 7.721 Pr
0.000 0.000 0.000 Er
2.486 1.858 -2.172 Er
2.486 -1.858 5.549 Er
2.486 1.858 2.172 Er
2.486 -1.858 9.893 Er
0.000 0.000 7.721 Er
1.858 6.201 -2.172 Er
1.858 2.486 5.549 Er
1.858 6.201 2.172 Er
1.858 2.486 9.893 Er
0.000 0.000 3.861 Th
0.000 0.000 11.582 Th

***

TbPr6Er2Th PBE relaxed; calculated formation energy = 0.14 eV per atom
1.0
4.713 -7.557 0.000
4.713 7.557 0.000
-1.429 0.000 9.719
Tb Pr Er Th
2 12 4 2
Cartesian
3.642 6.159 7.290 Tb
4.356 -6.159 2.430 Tb
3.279 5.957 3.703 Pr
2.480 3.282 1.820 Pr
5.433 5.957 1.157 Pr
3.289 2.626 5.418 Pr
3.995 2.626 9.161 Pr
6.233 3.282 3.040 Pr
1.765 -3.282 6.680 Pr
4.003 -2.626 0.558 Pr
4.709 -2.626 4.301 Pr
2.565 -5.957 8.563 Pr
5.518 -3.282 7.900 Pr
4.719 -5.957 6.017 Pr
1.068 0.671 9.221 Er
1.782 -0.671 4.361 Er
6.216 0.671 5.358 Er
6.930 -0.671 0.499 Er
4.356 0.452 2.430 Th
3.642 -0.452 7.290 Th

***

TbPrEr3Th PBE relaxed; calculated formation energy = 0.02 eV per atom
1.0
10.649 0.000 0.000
0.000 3.569 0.000
-3.492 0.000 10.096
Tb Pr Er Th
2 2 6 2
Cartesian
0.899 0.892 1.323 Tb
6.257 2.677 8.773 Tb
-0.828 2.677 8.814 Pr
7.985 0.892 1.282 Pr
-0.847 2.677 3.807 Er
0.973 0.892 6.250 Er
4.437 0.892 1.314 Er
2.720 2.677 8.782 Er
6.184 2.677 3.846 Er
8.004 0.892 6.289 Er
2.706 2.677 3.792 Th
4.451 0.892 6.304 Th

***

Tb6PrEr3Th2 PBE relaxed; calculated formation energy = 0.04 eV per atom
1.0
3.094 -5.354 0.000
3.094 5.354 0.000
-2.063 0.000 11.606
Tb Pr Er Th
6 1 3 2
Cartesian
-0.020 1.810 8.704 Tb
1.006 0.000 2.904 Tb
-0.020 -1.810 8.704 Tb
4.146 1.810 2.903 Tb
3.120 0.000 8.703 Tb
4.146 -1.810 2.903 Tb
3.094 0.000 0.000 Pr
-1.031 0.000 5.803 Er
2.063 1.781 5.803 Er
2.063 -1.781 5.803 Er
3.094 3.568 0.000 Th
3.094 -3.568 0.000 Th

***

Tb3PrEr6Th2 PBE relaxed; calculated formation energy = 0.03 eV per atom
1.0
3.087 -5.343 0.000
3.087 5.343 0.000
-2.062 0.000 11.490
Tb Pr Er Th
3 1 6 2
Cartesian
0.000 0.000 0.000 Tb
3.087 1.776 0.000 Tb
3.087 -1.776 0.000 Tb
2.056 0.000 5.745 Pr
1.011 1.807 2.888 Er
-0.032 0.000 8.603 Er
1.011 -1.807 2.888 Er
3.101 1.807 8.602 Er
4.143 0.000 2.888 Er
3.101 -1.807 8.602 Er
2.056 3.561 5.745 Th
2.056 -3.561 5.745 Th

***

TbPrErTh PBE relaxed; calculated formation energy = 0.14 eV per atom; excess energy over the best structure of this formula in the dataset = 124 meV per atom
1.0
0.000 4.035 4.035
4.035 0.000 4.035
4.035 4.035 0.000
Tb Pr Er Th
1 1 1 1
Cartesian
0.000 0.000 0.000 Tb
6.053 6.053 6.053 Pr
4.035 4.035 4.035 Er
2.018 2.018 2.018 Th

***

What did we get for E? Answer: -5.28, -5.25, -5.20, -4.63, -4.93, -4.90, -5.28, -4.87, -5.08, -4.93, -5.11, -4.88, -4.76, -5.33, -4.64, -4.85, -5.06, -5.05, -5.04, -5.21 eV/atom, in the order shown.
What did we get for ρ? Answer: 7.0, 7.2, 7.8, 5.8, 8.9, 9.0, 8.8, 7.5, 8.6, 8.6, 8.5, 8.3, 8.4, 8.9, 8.6, 7.5, 8.9, 8.9, 9.1, 8.8 Mg/m³, in the order shown.